Material: KCr2Si
Method: DFT, PBE-GGA
State: optimized geometry

Cell: 4.4934 4.4934 3.9056 Å, 90.00 90.00 90.00°
Each line ends with the local moment (μB).
Sites, in units of the cell vectors:
Cr (0.0000, 0.0000, 0.0000)  3.63
Cr (0.5000, 0.5000, 0.0000)  3.63
K (0.5000, 0.0000, 0.5000)  0.06
Si (0.0000, 0.5000, 0.5000)  -0.20

Calculated values
The value obtained for the density of states at the Fermi level is 0.58 states/eV per atom. The symmetry is No. 123. The energy relative to the elements, uncorrected comes out at 1.12 eV per atom.